Entry 1:
# SrNdSm2S4

Crystalline SrNdSm2S4 at its relaxed geometry (GGA-PBE, the Alexandria database).

The structure belongs to space group P2/m (No. 10); the cell edges are 7.0758, 4.0548 and 7.0795 Å and the angles 90.00°, 109.09° and 90.00°. The distinct sites, in fractional coordinates, are Sr at (0.0000, 0.0000, 0.0000), Nd at (0.0000, 0.5000, 0.5000), Sm at (0.5000, 0.0000, 0.5000), Sm at (0.5000, 0.5000, 0.0000), S at (0.2570, 0.0000, 0.7505) and S at (0.2598, 0.5000, 0.2561).

The uncorrected formation energy is -195.6 kJ/mol of atoms. For the density of states at the Fermi level, the calculation gives 0.367 states/eV/atom. The volume comes out at 191.94 Å³ per cell. For the total energy, the calculation gives -6.077 eV per atom.

Entry 2:
# Tb4NdSm3S8

Crystalline Tb4NdSm3S8 at its relaxed geometry (GGA-PBE, the Alexandria database).

The structure belongs to space group R-3m (No. 166, hexagonal axes); the cell edges are 7.9338, 7.9338 and 19.5862 Å and the angles 90.00°, 90.00° and 120.00°. The distinct sites, in fractional coordinates, are Tb at (0.0000, 0.0000, 0.0000), Tb at (0.0000, 0.5000, 0.0000), Nd at (0.0000, 0.0000, 0.5000), Sm at (0.0000, 0.5000, 0.5000), S at (0.0000, 0.0000, 0.2528) and S at (0.0024, 0.5012, 0.7466).

The uncorrected formation energy is -194.4 kJ/mol of atoms. For the density of states at the Fermi level, the calculation gives 0.537 states/eV/atom. The volume comes out at 1067.67 Å³ per cell. For the total energy, the calculation gives -6.418 eV per atom.

Entry 3:
# Tb4NdSmS8

Crystalline Tb4NdSmS8 at its relaxed geometry (GGA-PBE, the Alexandria database).

The structure belongs to space group R3m (No. 160, hexagonal axes); the cell edges are 8.1398, 8.1398 and 20.0498 Å and the angles 90.00°, 90.00° and 120.00°. The distinct sites, in fractional coordinates, are Tb at (0.0000, 0.0000, 0.0000), Tb at (0.1675, 0.3350, 0.4586), Nd at (0.0000, 0.0000, 0.2513), Sm at (0.0000, 0.0000, 0.6262), S at (0.0000, 0.0000, 0.3867), S at (0.0000, 0.0000, 0.8679), S at (0.0153, 0.5077, 0.3796) and S at (0.1790, 0.3580, 0.2038).

The uncorrected formation energy is -186.0 kJ/mol of atoms. For the density of states at the Fermi level, the calculation gives 0.595 states/eV/atom. The volume comes out at 1150.46 Å³ per cell. For the total energy, the calculation gives -6.287 eV per atom.

Entry 4:
# Tb3NdSm2S6

Crystalline Tb3NdSm2S6 at its relaxed geometry (GGA-PBE, the Alexandria database).

The structure belongs to space group C2/m (No. 12); the cell edges are 6.8637, 11.9307 and 6.9132 Å and the angles 90.00°, 109.38° and 90.00°. The distinct sites, in fractional coordinates, are Tb at (0.0000, 0.0000, 0.0000), Tb at (0.0000, 0.3346, 0.0000), Nd at (0.0000, 0.5000, 0.5000), Sm at (0.0000, 0.1665, 0.5000), S at (0.2451, 0.1682, 0.2401) and S at (0.2500, 0.0000, 0.7590).

The uncorrected formation energy is -195.1 kJ/mol of atoms. For the density of states at the Fermi level, the calculation gives 0.435 states/eV/atom. The volume comes out at 534.05 Å³ per cell. For the total energy, the calculation gives -6.427 eV per atom.

Entry 5:
# Tb3Nd4SmS8

Crystalline Tb3Nd4SmS8 at its relaxed geometry (GGA-PBE, the Alexandria database).

The structure belongs to space group R-3m (No. 166, hexagonal axes); the cell edges are 7.9907, 7.9907 and 19.7918 Å and the angles 90.00°, 90.00° and 120.00°. The distinct sites, in fractional coordinates, are Tb at (0.0000, 0.5000, 0.0000), Nd at (0.0000, 0.0000, 0.5000), Nd at (0.0000, 0.5000, 0.5000), Sm at (0.0000, 0.0000, 0.0000), S at (0.0000, 0.0000, 0.2548) and S at (0.0038, 0.5019, 0.2539).

The uncorrected formation energy is -194.7 kJ/mol of atoms. For the density of states at the Fermi level, the calculation gives 0.512 states/eV/atom. The volume comes out at 1094.44 Å³ per cell. For the total energy, the calculation gives -6.436 eV per atom.

Entry 6:
# Tb2NdSm3S6

Crystalline Tb2NdSm3S6 at its relaxed geometry (GGA-PBE, the Alexandria database).

The structure belongs to space group C2/m (No. 12); the cell edges are 6.9028, 11.9982 and 6.9118 Å and the angles 90.00°, 109.50° and 90.00°. The distinct sites, in fractional coordinates, are Tb at (0.0000, 0.1663, 0.0000), Nd at (0.0000, 0.5000, 0.0000), Sm at (0.0000, 0.0000, 0.5000), Sm at (0.0000, 0.3370, 0.5000), S at (0.2404, 0.0000, 0.2445) and S at (0.2470, 0.1706, 0.7525).

The uncorrected formation energy is -195.1 kJ/mol of atoms. For the density of states at the Fermi level, the calculation gives 0.416 states/eV/atom. The volume comes out at 539.62 Å³ per cell. For the total energy, the calculation gives -6.434 eV per atom.

Entry 7:
# TbNdSm2S4

Crystalline TbNdSm2S4 at its relaxed geometry (GGA-PBE, the Alexandria database).

The structure belongs to space group P2/m (No. 10); the cell edges are 6.9415, 3.9685 and 6.9769 Å and the angles 90.00°, 109.04° and 90.00°. The distinct sites, in fractional coordinates, are Tb at (0.0000, 0.0000, 0.0000), Nd at (0.0000, 0.5000, 0.5000), Sm at (0.5000, 0.0000, 0.5000), Sm at (0.5000, 0.5000, 0.0000), S at (0.2462, 0.5000, 0.2426) and S at (0.2510, 0.0000, 0.7566).

The uncorrected formation energy is -194.5 kJ/mol of atoms. For the density of states at the Fermi level, the calculation gives 0.615 states/eV/atom. The volume comes out at 181.68 Å³ per cell. For the total energy, the calculation gives -6.434 eV per atom.

Entry 8:
# TbNd2SmS6

Crystalline TbNd2SmS6 at its relaxed geometry (GGA-PBE, the Alexandria database).

The structure belongs to space group R3 (No. 146, hexagonal axes); the cell edges are 7.1138, 7.1138 and 18.7817 Å and the angles 90.00°, 90.00° and 120.00°. The distinct sites, in fractional coordinates, are Tb at (0.0000, 0.0000, 0.0000), Nd at (0.0000, 0.0000, 0.2957), Nd at (0.0000, 0.0000, 0.7944), Sm at (0.0000, 0.0000, 0.5019), S at (0.0420, 0.3601, 0.0674) and S at (0.0434, 0.6755, 0.5680).

The uncorrected formation energy is -195.6 kJ/mol of atoms. For the density of states at the Fermi level, the calculation gives 0.000 states/eV/atom. The volume comes out at 823.15 Å³ per cell. For the total energy, the calculation gives -6.392 eV per atom.

Entry 9:
# TbNdSm2S6

Crystalline TbNdSm2S6 at its relaxed geometry (GGA-PBE, the Alexandria database).

The structure belongs to space group R3 (No. 146, hexagonal axes); the cell edges are 7.0853, 7.0853 and 18.7838 Å and the angles 90.00°, 90.00° and 120.00°. The distinct sites, in fractional coordinates, are Tb at (0.0000, 0.0000, 0.0000), Nd at (0.0000, 0.0000, 0.5038), Sm at (0.0000, 0.0000, 0.2983), Sm at (0.0000, 0.0000, 0.7958), S at (0.0049, 0.7088, 0.9001) and S at (0.0353, 0.3616, 0.0660).

The uncorrected formation energy is -195.9 kJ/mol of atoms. For the density of states at the Fermi level, the calculation gives 0.000 states/eV/atom. The volume comes out at 816.67 Å³ per cell. For the total energy, the calculation gives -6.390 eV per atom.

Entry 10:
# TbNd3Sm2S6

Crystalline TbNd3Sm2S6 at its relaxed geometry (GGA-PBE, the Alexandria database).

The structure belongs to space group C2/m (No. 12); the cell edges are 6.9537, 12.0849 and 6.9839 Å and the angles 90.00°, 109.44° and 90.00°. The distinct sites, in fractional coordinates, are Tb at (0.0000, 0.0000, 0.0000), Nd at (0.0000, 0.1688, 0.5000), Nd at (0.0000, 0.5000, 0.5000), Sm at (0.0000, 0.3332, 0.0000), S at (0.2446, 0.1644, 0.2412) and S at (0.2476, 0.0000, 0.7569).

The uncorrected formation energy is -195.5 kJ/mol of atoms. For the density of states at the Fermi level, the calculation gives 0.436 states/eV/atom. The volume comes out at 553.45 Å³ per cell. For the total energy, the calculation gives -6.455 eV per atom.

- Look up the density of states at the Fermi level of the tenth one.
  0.436 states/eV/atom